! ReAg PBE optimized geometry; values from VASP
&SYSTEM
  ibrav = 0, nat = 6, ntyp = 2
/
ATOMIC_SPECIES
Re 186.21 Re.upf
Ag 107.87 Ag.upf
CELL_PARAMETERS angstrom
5.2276 -3.5977 -1.5116
5.9823 -2.4208 0.9531
-1.0053 -4.9090 2.6519
ATOMIC_POSITIONS crystal
Re 0.3177 0.3177 0.3667
Re 0.9390 0.9390 0.5698
Re 0.3141 0.3141 0.9006
Ag 0.9817 0.9817 0.0417
Ag 0.6336 0.6336 0.2400
Ag 0.6472 0.6472 0.7145
! energy relative to the elements	588	meV/atom
! DFT total energy	-14.124	eV per formula unit